No. 1
An optimized crystal structure of KIr3I, computed with PBE.

Calculated values
ΔE to the lowest computed polymorph   7.44 eV/f.u.
Magnetization   3.45 Bohr magnetons per cell
Crystal system   cubic
ΔE_f (raw)   3.14 eV/atom

Cell: 4.928 4.928 4.928 Å, 90.00 90.00 90.00°
Space group Pm-3m (No. 221)
Inequivalent atoms, fractional coordinates:
K  0.000  0.000  0.000 x1
Ir  0.000  0.000  0.500 x3
I  0.500  0.500  0.500 x1

---

No. 2
An optimized crystal structure of HoHfZnOs, computed with PBE.

Calculated values
Magnetization   0.00 Bohr magnetons per cell
Crystal system   cubic
Formation energy   -1.25 eV per formula unit

Cell: 6.732 6.732 6.732 Å, 90.00 90.00 90.00°
Space group F-43m (No. 216)
Inequivalent atoms, fractional coordinates:
Ho  0.000  0.000  0.000 x4
Hf  0.000  0.000  0.500 x4
Zn  0.250  0.250  0.250 x4
Os  0.250  0.250  0.750 x4